Entry 1:
Density functional theory data (GGA-PBEsol) for crystalline SiGeTeI2 at its relaxed geometry.

Uncorrected formation energy, kJ/mol of formula units: 297
M_tot, μB/atom: 0.000
Total energy, eV/cell: -14.67

Cell and atoms, written as CIF:
```
data_SiGeTeI2
_chemical_formula_sum 'Si1 Ge1 Te1 I2'
_cell_length_a 5.4054
_cell_length_b 5.4054
_cell_length_c 5.5460
_cell_angle_alpha 90.00
_cell_angle_beta 90.00
_cell_angle_gamma 90.00
_symmetry_space_group_name_H-M 'P 4/m m m'
_symmetry_Int_Tables_number 123
_symmetry_space_group_name_Hall '-P 4 2'
loop_
_atom_site_label
_atom_site_fract_x
_atom_site_fract_y
_atom_site_fract_z
Si1 0.0000 0.0000 0.0000
Ge1 0.5000 0.5000 0.5000
Te1 0.5000 0.5000 0.0000
I1 0.0000 0.5000 0.5000
```

=====

Entry 2:
Density functional theory data (GGA-PBEsol) for crystalline Na2PdF4 at its relaxed geometry.

Uncorrected formation energy, kJ/mol of formula units: -1424
M_tot, μB/atom: 0.000
Total energy, eV/cell: -62.46

Cell and atoms, written as CIF:
```
data_Na2PdF4
_chemical_formula_sum 'Na4 Pd2 F8'
_cell_length_a 3.4135
_cell_length_b 5.5750
_cell_length_c 10.0318
_cell_angle_alpha 90.00
_cell_angle_beta 94.96
_cell_angle_gamma 90.00
_symmetry_space_group_name_H-M 'P 1 21/c 1'
_symmetry_Int_Tables_number 14
loop_
_symmetry_equiv_pos_as_xyz
'x,y,z'
'-x,-y,-z'
'-x,y+1/2,-z+1/2'
'x,-y+1/2,z+1/2'
loop_
_atom_site_label
_atom_site_fract_x
_atom_site_fract_y
_atom_site_fract_z
Na1 0.2168 0.0449 0.1512
Pd1 0.5000 0.0000 0.5000
F1 0.2885 0.6772 0.8392
F2 0.2924 0.1942 0.9256
```

=====

Entry 3:
Density functional theory data (GGA-PBEsol) for crystalline LaGa3Cu at its relaxed geometry.

Formation enthalpy at 0 K, eV/atom: -0.56
M_tot, μB/atom: 0.000
Total energy, eV/cell: -44.99
Offset from the most stable computed form, eV per formula unit: 0.000

Cell and atoms, written as CIF:
```
data_LaGa3Cu
_chemical_formula_sum 'La2 Ga6 Cu2'
_cell_length_a 4.2083
_cell_length_b 4.2083
_cell_length_c 10.4386
_cell_angle_alpha 90.00
_cell_angle_beta 90.00
_cell_angle_gamma 90.00
_symmetry_space_group_name_H-M 'I -4 m 2'
_symmetry_Int_Tables_number 119
_symmetry_space_group_name_Hall 'I -4 -2'
loop_
_atom_site_label
_atom_site_fract_x
_atom_site_fract_y
_atom_site_fract_z
La1 0.0000 0.0000 0.0000
Ga1 0.0000 0.0000 0.3807
Ga2 0.0000 0.5000 0.7500
Cu1 0.0000 0.5000 0.2500
```

=====

Entry 4:
Density functional theory data (GGA-PBEsol) for crystalline KRb2ZnF at its relaxed geometry.

Uncorrected formation energy, kJ/mol of formula units: -430
M_tot, μB/atom: 0.000
Total energy, eV/cell: -11.15

Cell and atoms, written as CIF:
```
data_KRb2ZnF
_chemical_formula_sum 'K1 Rb2 Zn1 F1'
_cell_length_a 5.6417
_cell_length_b 5.6417
_cell_length_c 5.3472
_cell_angle_alpha 90.00
_cell_angle_beta 90.00
_cell_angle_gamma 90.00
_symmetry_space_group_name_H-M 'P 4/m m m'
_symmetry_Int_Tables_number 123
_symmetry_space_group_name_Hall '-P 4 2'
loop_
_atom_site_label
_atom_site_fract_x
_atom_site_fract_y
_atom_site_fract_z
K1 0.0000 0.0000 0.0000
Rb1 0.0000 0.5000 0.5000
Zn1 0.5000 0.5000 0.0000
F1 0.0000 0.0000 0.5000
```

=====

Entry 5:
Density functional theory data (GGA-PBEsol) for crystalline PPtBr2 at its relaxed geometry.

Uncorrected formation energy, kJ/mol of formula units: 205
M_tot, μB/atom: 0.000
Total energy, eV/cell: -28.74

Cell and atoms, written as CIF:
```
data_PPtBr2
_chemical_formula_sum 'P2 Pt2 Br4'
_cell_length_a 6.0368
_cell_length_b 7.1824
_cell_length_c 3.7763
_cell_angle_alpha 90.00
_cell_angle_beta 90.00
_cell_angle_gamma 90.00
_symmetry_space_group_name_H-M 'C m m m'
_symmetry_Int_Tables_number 65
_symmetry_space_group_name_Hall '-C 2 2'
loop_
_atom_site_label
_atom_site_fract_x
_atom_site_fract_y
_atom_site_fract_z
P1 0.0000 0.0000 0.0000
Pt1 0.0000 0.5000 0.0000
Br1 0.0000 0.2624 0.5000
```

=====

Entry 6:
Density functional theory data (GGA-PBEsol) for crystalline PHPbO4 at its relaxed geometry.

M_tot, μB/atom: 0.000
Total energy, eV/cell: -93.33

Cell and atoms, written as CIF:
```
data_PHPbO4
_chemical_formula_sum 'P2 H2 Pb2 O8'
_cell_length_a 4.6955
_cell_length_b 6.5967
_cell_length_c 5.7320
_cell_angle_alpha 90.00
_cell_angle_beta 96.27
_cell_angle_gamma 90.00
_symmetry_space_group_name_H-M 'P 1 2/c 1'
_symmetry_Int_Tables_number 13
loop_
_symmetry_equiv_pos_as_xyz
'x,y,z'
'-x,-y,-z'
'-x,y,-z+1/2'
'x,-y,z+1/2'
loop_
_atom_site_label
_atom_site_fract_x
_atom_site_fract_y
_atom_site_fract_z
P1 0.0000 0.2101 0.2500
H1 0.0000 0.5000 0.0000
Pb1 0.5000 0.2023 0.7500
O1 0.1256 0.3476 0.0643
O2 0.2427 0.0793 0.3749
```

=====

Entry 7:
Density functional theory data (GGA-PBEsol) for crystalline Mn2MoSe at its relaxed geometry.

Uncorrected formation energy, kJ/mol of formula units: 144
M_tot, μB/atom: 0.987
Total energy, eV/cell: -67.29

Cell and atoms, written as CIF:
```
data_Mn2MoSe
_chemical_formula_sum 'Mn4 Mo2 Se2'
_cell_length_a 5.1733
_cell_length_b 8.3835
_cell_length_c 2.9116
_cell_angle_alpha 90.00
_cell_angle_beta 120.12
_cell_angle_gamma 90.00
_symmetry_space_group_name_H-M 'C 1 2/m 1'
_symmetry_Int_Tables_number 12
loop_
_symmetry_equiv_pos_as_xyz
'x,y,z'
'-x,-y,-z'
'-x,y,-z'
'x,-y,z'
'x+1/2,y+1/2,z'
'-x+1/2,-y+1/2,-z'
'-x+1/2,y+1/2,-z'
'x+1/2,-y+1/2,z'
loop_
_atom_site_label
_atom_site_fract_x
_atom_site_fract_y
_atom_site_fract_z
Mn1 0.2500 0.2500 0.0000
Mo1 0.0000 0.0000 0.5000
Se1 0.0000 0.5000 0.5000
```

=====

Entry 8:
Density functional theory data (GGA-PBEsol) for crystalline SrIn2BBr at its relaxed geometry.

Uncorrected formation energy, kJ/mol of formula units: 342
M_tot, μB/atom: 0.000
Total energy, eV/cell: -13.15

Cell and atoms, written as CIF:
```
data_SrIn2BBr
_chemical_formula_sum 'Sr1 In2 B1 Br1'
_cell_length_a 5.8100
_cell_length_b 5.8100
_cell_length_c 4.3145
_cell_angle_alpha 90.00
_cell_angle_beta 90.00
_cell_angle_gamma 90.00
_symmetry_space_group_name_H-M 'P 4/m m m'
_symmetry_Int_Tables_number 123
_symmetry_space_group_name_Hall '-P 4 2'
loop_
_atom_site_label
_atom_site_fract_x
_atom_site_fract_y
_atom_site_fract_z
Sr1 0.0000 0.0000 0.0000
In1 0.0000 0.5000 0.5000
B1 0.5000 0.5000 0.0000
Br1 0.5000 0.5000 0.5000
```